P:
Material: Fe5Rh
Method: DFT, PBE-GGA
State: optimized geometry

abc: 2.6630 2.6630 12.2971
angles: 90.00 90.00 120.00
Space group P-3m1 (No. 164)
Unique sites:
Fe  0.0000  0.0000  0.0000 (multiplicity 1)
Fe  0.3333  0.6667  0.3260 (multiplicity 2)
Fe  0.3333  0.6667  0.8381 (multiplicity 2)
Rh  0.0000  0.0000  0.5000 (multiplicity 1)


Q:
Material: Fe5Rh
Method: DFT, PBE-GGA
State: optimized geometry

abc: 4.6508 4.6508 3.9912
angles: 90.00 90.00 120.00
Space group P6/mmm (No. 191)
Unique sites:
Fe  0.0000  0.5000  0.0000 (multiplicity 3)
Fe  0.3333  0.6667  0.5000 (multiplicity 2)
Rh  0.0000  0.0000  0.5000 (multiplicity 1)


Decreasing stability: P, Q


P:
Material: Fe5Rh3
Method: DFT, PBE-GGA
State: optimized geometry

abc: 7.2972 7.2972 4.7744
angles: 90.00 90.00 120.00
Space group P6_3/mcm (No. 193)
Unique sites:
Fe  0.0000  0.2240  0.2500 (multiplicity 6)
Fe  0.3333  0.6667  0.0000 (multiplicity 4)
Rh  0.0000  0.4023  0.7500 (multiplicity 6)


Q:
Material: Fe5Rh3
Method: DFT, PBE-GGA
State: optimized geometry

abc: 4.7732 7.0129 7.1738
angles: 84.61 73.85 70.20
Space group P1 (No. 1)
Unique sites:
Fe  0.0000  0.0000  0.0000 (multiplicity 1)
Fe  0.0025  0.3225  0.1983 (multiplicity 1)
Fe  0.0581  0.4967  0.5101 (multiplicity 1)
Fe  0.2354  0.1099  0.5460 (multiplicity 1)
Fe  0.2753  0.4964  0.8903 (multiplicity 1)
Fe  0.4838  0.1096  0.8539 (multiplicity 1)
Fe  0.5045  0.3224  0.2019 (multiplicity 1)
Fe  0.5100  0.6543  0.3825 (multiplicity 1)
Fe  0.6677  0.6545  0.0173 (multiplicity 1)
Fe  0.8274  0.0000  0.4004 (multiplicity 1)
Rh  0.0724  0.6877  0.2001 (multiplicity 1)
Rh  0.4240  0.9790  0.2001 (multiplicity 1)
Rh  0.5422  0.7447  0.7002 (multiplicity 1)
Rh  0.6169  0.3321  0.5565 (multiplicity 1)
Rh  0.8804  0.3319  0.8437 (multiplicity 1)
Rh  0.9967  0.8363  0.6999 (multiplicity 1)


Decreasing stability: Q, P


P:
Material: FeRh4
Method: DFT, PBE-GGA
State: optimized geometry

abc: 2.7009 2.7009 32.7740
angles: 90.00 90.00 120.00
Space group R-3m (No. 166, hexagonal axes)
Unique sites:
Fe  0.0000  0.0000  0.0000 (multiplicity 3)
Rh  0.0000  0.0000  0.2004 (multiplicity 6)
Rh  0.0000  0.0000  0.3972 (multiplicity 6)


Q:
Material: FeRh4
Method: DFT, PBE-GGA
State: optimized geometry

abc: 4.3218 4.3218 13.1777
angles: 90.00 90.00 120.00
Space group R-3m (No. 166, hexagonal axes)
Unique sites:
Fe  0.0000  0.0000  0.0000 (multiplicity 3)
Rh  0.0000  0.0000  0.1867 (multiplicity 6)
Rh  0.0000  0.0000  0.3916 (multiplicity 6)


R:
Material: FeRh4
Method: DFT, PBE-GGA
State: optimized geometry

abc: 3.5370 3.5370 12.6003
angles: 90.00 90.00 90.00
Space group I4/mmm (No. 139)
Unique sites:
Fe  0.0000  0.0000  0.0000 (multiplicity 2)
Rh  0.0000  0.0000  0.4027 (multiplicity 4)
Rh  0.0000  0.5000  0.2500 (multiplicity 4)


Decreasing stability: P, Q, R


P:
Material: FeRh4
Method: DFT, PBE-GGA
State: optimized geometry

abc: 5.4401 5.2468 5.3428
angles: 90.00 105.19 90.00
Space group P2_1/c (No. 14)
Unique sites:
Fe  0.0000  0.0000  0.0000 (multiplicity 2)
Rh  0.2842  0.1793  0.7574 (multiplicity 4)
Rh  0.2889  0.6731  0.9037 (multiplicity 4)


Q:
Material: FeRh4
Method: DFT, PBE-GGA
State: optimized geometry

abc: 7.1799 7.1799 2.7191
angles: 90.00 90.00 90.00
Space group I4/m (No. 87)
Unique sites:
Fe  0.0000  0.0000  0.0000 (multiplicity 2)
Rh  0.0896  0.7147  0.5000 (multiplicity 8)


R:
Material: FeRh4
Method: DFT, PBE-GGA
State: optimized geometry

abc: 4.7489 4.7489 7.5228
angles: 90.00 90.00 90.00
Space group I4/mmm (No. 139)
Unique sites:
Fe  0.0000  0.0000  0.0000 (multiplicity 2)
Rh  0.0000  0.0000  0.3437 (multiplicity 4)
Rh  0.0000  0.5000  0.2500 (multiplicity 4)


Decreasing stability: Q, P, R


P:
Material: Fe4Rh5
Method: DFT, PBE-GGA
State: optimized geometry

abc: 7.4047 7.4047 5.1963
angles: 90.00 90.00 120.00
Space group P6_3/mcm (No. 193)
Unique sites:
Fe  0.0000  0.0000  0.0000 (multiplicity 2)
Fe  0.0000  0.3465  0.2500 (multiplicity 6)
Rh  0.0000  0.3176  0.7500 (multiplicity 6)
Rh  0.3333  0.6667  0.0000 (multiplicity 4)


Q:
Material: Fe4Rh5
Method: DFT, PBE-GGA
State: optimized geometry

abc: 2.8157 8.8318 9.7883
angles: 90.00 90.00 90.00
Space group Immm (No. 71)
Unique sites:
Fe  0.0000  0.1838  0.1582 (multiplicity 8)
Rh  0.0000  0.1499  0.5000 (multiplicity 4)
Rh  0.0000  0.5000  0.2023 (multiplicity 4)
Rh  0.0000  0.5000  0.5000 (multiplicity 2)


Decreasing stability: Q, P


P:
Material: FeRu2Rh
Method: DFT, PBE-GGA
State: optimized geometry

abc: 6.0831 6.0831 6.0831
angles: 90.00 90.00 90.00
Space group F-43m (No. 216)
Unique sites:
Fe  0.0000  0.0000  0.0000 (multiplicity 4)
Ru  0.0000  0.0000  0.5000 (multiplicity 4)
Ru  0.2500  0.2500  0.2500 (multiplicity 4)
Rh  0.2500  0.2500  0.7500 (multiplicity 4)


Q:
Material: FeRu2Rh
Method: DFT, PBE-GGA
State: optimized geometry

abc: 2.8469 4.3705 8.8531
angles: 90.00 90.00 90.00
Space group Imm2 (No. 44)
Unique sites:
Fe  0.0000  0.0000  0.0000 (multiplicity 2)
Ru  0.0000  0.0000  0.5074 (multiplicity 2)
Ru  0.0000  0.5000  0.2740 (multiplicity 2)
Rh  0.0000  0.5000  0.7298 (multiplicity 2)


R:
Material: FeRu2Rh
Method: DFT, PBE-GGA
State: optimized geometry

abc: 3.7681 3.7681 7.6134
angles: 90.00 90.00 90.00
Space group I-4m2 (No. 119)
Unique sites:
Fe  0.0000  0.0000  0.0000 (multiplicity 2)
Ru  0.0000  0.0000  0.5000 (multiplicity 2)
Ru  0.0000  0.5000  0.2500 (multiplicity 2)
Rh  0.0000  0.5000  0.7500 (multiplicity 2)


Decreasing stability: R, Q, P


P:
Material: FeRu2Rh
Method: DFT, PBE-GGA
State: optimized geometry

abc: 8.8799 2.6867 4.6213
angles: 90.00 100.34 90.00
Space group Cm (No. 8)
Unique sites:
Fe  0.0000  0.0000  0.0000 (multiplicity 2)
Ru  0.2488  0.5000  0.2592 (multiplicity 2)
Ru  0.4990  0.0000  0.4911 (multiplicity 2)
Rh  0.2512  0.0000  0.7631 (multiplicity 2)


Q:
Material: FeRu2Rh
Method: DFT, PBE-GGA
State: optimized geometry

abc: 4.4742 4.4742 2.7805
angles: 90.00 90.00 90.00
Space group P4/mmm (No. 123)
Unique sites:
Fe  0.0000  0.0000  0.0000 (multiplicity 1)
Ru  0.0000  0.5000  0.5000 (multiplicity 2)
Rh  0.5000  0.5000  0.0000 (multiplicity 1)


R:
Material: FeRu2Rh
Method: DFT, PBE-GGA
State: optimized geometry

abc: 2.6760 3.7668 5.3414
angles: 90.00 90.00 90.00
Space group Pmmm (No. 47)
Unique sites:
Fe  0.0000  0.0000  0.0000 (multiplicity 1)
Ru  0.5000  0.5000  0.2373 (multiplicity 2)
Rh  0.0000  0.0000  0.5000 (multiplicity 1)


Decreasing stability: P, R, Q


P:
Material: FeRu2Rh
Method: DFT, PBE-GGA
State: optimized geometry

abc: 5.3356 5.3356 10.6190
angles: 90.00 90.00 90.00
Space group I-42d (No. 122)
Unique sites:
Fe  0.0000  0.0000  0.0000 (multiplicity 4)
Ru  0.2220  0.2500  0.1250 (multiplicity 8)
Rh  0.0000  0.0000  0.5000 (multiplicity 4)


Q:
Material: FeRu2Rh
Method: DFT, PBE-GGA
State: optimized geometry

abc: 2.7588 4.5466 8.9152
angles: 90.00 90.00 90.00
Space group Cmm2 (No. 35)
Unique sites:
Fe  0.0000  0.0000  0.0000 (multiplicity 2)
Ru  0.0000  0.0000  0.4958 (multiplicity 2)
Ru  0.0000  0.5000  0.2422 (multiplicity 2)
Rh  0.0000  0.5000  0.7586 (multiplicity 2)


R:
Material: FeRu2Rh
Method: DFT, PBE-GGA
State: optimized geometry

abc: 2.7031 3.7429 5.3657
angles: 90.00 90.00 90.00
Space group Pmm2 (No. 25)
Unique sites:
Fe  0.0000  0.0000  0.0000 (multiplicity 1)
Ru  0.0000  0.0000  0.5129 (multiplicity 1)
Ru  0.5000  0.5000  0.7492 (multiplicity 1)
Rh  0.5000  0.5000  0.2412 (multiplicity 1)


S:
Material: FeRu2Rh
Method: DFT, PBE-GGA
State: optimized geometry

abc: 4.6245 2.6861 4.6256
angles: 90.00 109.26 90.00
Space group P2/m (No. 10)
Unique sites:
Fe  0.0000  0.0000  0.0000 (multiplicity 1)
Ru  0.5000  0.0000  0.5000 (multiplicity 1)
Ru  0.5000  0.5000  0.0000 (multiplicity 1)
Rh  0.0000  0.5000  0.5000 (multiplicity 1)


Decreasing stability: R, S, Q, P


P:
Material: FeRu2Rh
Method: DFT, PBE-GGA
State: optimized geometry

abc: 2.6886 2.6886 25.9994
angles: 90.00 90.00 120.00
Space group R-3m (No. 166, hexagonal axes)
Unique sites:
Fe  0.0000  0.0000  0.0000 (multiplicity 3)
Ru  0.0000  0.0000  0.2525 (multiplicity 6)
Rh  0.0000  0.0000  0.5000 (multiplicity 3)


Q:
Material: FeRu2Rh
Method: DFT, PBE-GGA
State: optimized geometry

abc: 8.8522 2.6871 4.6290
angles: 90.00 100.74 90.00
Space group C2/m (No. 12)
Unique sites:
Fe  0.0000  0.0000  0.0000 (multiplicity 2)
Ru  0.2470  0.5000  0.2435 (multiplicity 4)
Rh  0.0000  0.5000  0.5000 (multiplicity 2)


Decreasing stability: Q, P


P:
Material: Fe2Ru2Rh
Method: DFT, PBE-GGA
State: optimized geometry

abc: 7.0377 7.0377 2.7171
angles: 90.00 90.00 90.00
Space group P4/mbm (No. 127)
Unique sites:
Fe  0.1684  0.3316  0.0000 (multiplicity 4)
Ru  0.1285  0.6285  0.5000 (multiplicity 4)
Rh  0.0000  0.0000  0.5000 (multiplicity 2)


Q:
Material: Fe2Ru2Rh
Method: DFT, PBE-GGA
State: optimized geometry

abc: 6.9463 6.9463 2.6681
angles: 90.00 90.00 90.00
Space group P4/mbm (No. 127)
Unique sites:
Fe  0.1204  0.3796  0.0000 (multiplicity 4)
Ru  0.1737  0.6737  0.5000 (multiplicity 4)
Rh  0.0000  0.0000  0.0000 (multiplicity 2)


Decreasing stability: Q, P